Record 1
Material: AcY3
Method: DFT, GGA-PBE
State: relaxed

Values from the calculation:
M_tot in μB/f.u.: 0.001
D(E_F) in states/eV/f.u.: 7.766
Formation enthalpy at 0 K in eV/atom: 0.049
Calculated total energy in eV per atom: -5.826

Cell: 3.764 5.890 6.383 Å, 90.00 90.00 90.00°
Fractional positions:
Y 0.000 0.000 0.994
Y 0.500 0.000 0.502
Y 0.500 0.500 0.833
Ac 0.000 0.500 0.337


Record 2
Material: YCu2H8Ir
Method: DFT, GGA-PBE
State: relaxed

Values from the calculation:
M_tot in μB/f.u.: 0.000
D(E_F) in states/eV/f.u.: 0.078
Calculated total energy in eV per atom: -4.397

Cell: 4.390 4.569 6.044 Å, 60.72 89.55 93.67°
Fractional positions:
Y 0.000 0.000 0.500
Cu 0.522 0.317 0.726
Cu 0.478 0.683 0.274
H 0.082 0.642 0.271
H 0.790 0.739 0.928
H 0.710 0.075 0.147
H 0.918 0.358 0.729
H 0.210 0.261 0.072
H 0.290 0.925 0.853
H 0.484 0.734 0.560
H 0.516 0.266 0.440
Ir 0.000 0.000 0.000


Record 3
Material: KCrPb2
Method: DFT, GGA-PBE
State: relaxed

Values from the calculation:
M_tot in μB/f.u.: 3.646
D(E_F) in states/eV/f.u.: 2.359
Formation enthalpy at 0 K in eV/atom: 0.251
Calculated total energy in eV per atom: -4.283

Cell: 5.029 5.029 7.540 Å, 82.22 82.22 40.62°
Fractional positions:
Cr 0.750 0.750 0.750
K 0.250 0.250 0.250
Pb 0.013 0.013 0.926
Pb 0.487 0.487 0.574


Record 4
Material: La3HgS6
Method: DFT, GGA-PBE
State: relaxed

Values from the calculation:
M_tot in μB/f.u.: 0.000
D(E_F) in states/eV/f.u.: 11.476
Calculated total energy in eV per atom: -5.559

Cell: 6.861 8.969 8.969 Å, 102.69 90.00 90.00°
Fractional positions:
La 0.475 0.916 0.714
La 0.975 0.714 0.916
La 0.399 0.397 0.603
La 0.899 0.603 0.397
La 0.975 0.084 0.286
La 0.475 0.286 0.084
Hg 0.009 0.198 0.802
Hg 0.509 0.802 0.198
S 0.187 0.683 0.638
S 0.687 0.638 0.683
S 0.212 0.443 0.909
S 0.712 0.909 0.443
S 0.181 0.028 0.972
S 0.649 0.222 0.778
S 0.149 0.778 0.222
S 0.681 0.972 0.028
S 0.212 0.091 0.557
S 0.712 0.557 0.091
S 0.187 0.362 0.317
S 0.687 0.317 0.362


Record 5
Material: LaTeCl
Method: DFT, GGA-PBE
State: relaxed

Values from the calculation:
M_tot in μB/f.u.: 0.000
D(E_F) in states/eV/f.u.: 0.000
Calculated total energy in eV per atom: -4.582

Cell: 5.302 5.302 5.302 Å, 60.00 60.00 60.00°
Fractional positions:
Cl 0.000 0.000 0.000
La 0.500 0.500 0.500
Te 0.750 0.750 0.750


Record 6
Material: Sr2SnBCl
Method: DFT, GGA-PBE
State: relaxed

Values from the calculation:
M_tot in μB/f.u.: 0.000
D(E_F) in states/eV/f.u.: 2.676
Calculated total energy in eV per atom: -3.661

Cell: 5.778 4.363 5.778 Å, 90.00 90.00 90.00°
Fractional positions:
Sr 0.000 0.000 0.500
Sr 0.500 0.000 0.000
B 0.000 0.000 0.000
Sn 0.000 0.500 0.000
Cl 0.500 0.500 0.500


Record 7
Material: ZnCo2Mo
Method: DFT, GGA-PBE
State: relaxed

Values from the calculation:
M_tot in μB/f.u.: 2.934
D(E_F) in states/eV/f.u.: 2.813
Formation enthalpy at 0 K in eV/atom: 0.068
Calculated total energy in eV per atom: -6.511

Cell: 2.631 2.631 7.432 Å, 90.00 90.00 90.00°
Fractional positions:
Co 0.000 0.000 0.017
Co 0.500 0.500 0.223
Mo 0.000 0.000 0.487
Zn 0.500 0.500 0.773


Record 8
Material: AlNiSnHg2
Method: DFT, GGA-PBE
State: relaxed

Values from the calculation:
M_tot in μB/f.u.: 0.000
D(E_F) in states/eV/f.u.: 3.532
Formation enthalpy at 0 K in eV/atom: 0.441
Calculated total energy in eV per atom: -2.385

Cell: 5.155 4.555 5.155 Å, 90.00 90.00 90.00°
Fractional positions:
Ni 0.000 0.500 0.000
Al 0.000 0.000 0.000
Hg 0.000 0.000 0.500
Hg 0.500 0.000 0.000
Sn 0.500 0.500 0.500